No. 1
Entry from Alexandria via LeMat-Bulk: TaCr2W after structural relaxation (PBE-GGA).

Unit cell a=2.7266 b=4.3025 c=5.0328 alpha=90.00 beta=100.34 gamma=90.00
Element x y z (fractional)
1 Ta 0.0000 0.0000 0.0000
2 Cr 0.2505 0.5000 0.7582
3 Cr 0.4928 0.0000 0.5109
4 W 0.7376 0.5000 0.2750

## Properties
excess energy over the best structure of this formula in the dataset: 120 meV per atom
total DFT energy (no corrections): -43.7 eV/cell
volume: 58 Å³ per cell

No. 2
Entry from Alexandria via LeMat-Bulk: Ta2CrW after structural relaxation (PBE-GGA).

Unit cell a=5.8629 b=5.8629 c=5.8629 alpha=152.07 beta=132.36 gamma=56.13
Element x y z (fractional)
1 Ta 0.2360 0.2360 0.0000
2 Ta 0.7640 0.7640 0.0000
3 Cr 0.0000 0.0000 0.0000
4 W 0.5000 0.5000 0.0000

## Properties
total DFT energy (no corrections): -42.7 eV/cell
volume: 69 Å³ per cell

No. 3
Entry from Alexandria via LeMat-Bulk: TaCr2W after structural relaxation (PBE-GGA).

Unit cell a=3.0991 b=4.2346 c=4.4394 alpha=90.00 beta=90.00 gamma=90.00
Element x y z (fractional)
1 Ta 0.0000 0.0000 0.0000
2 Cr 0.0000 0.5000 0.5000
3 Cr 0.5000 0.5000 0.0000
4 W 0.5000 0.0000 0.5000

## Properties
excess energy over the best structure of this formula in the dataset: 126 meV per atom
total DFT energy (no corrections): -43.7 eV/cell
volume: 58 Å³ per cell

No. 4
Entry from Alexandria via LeMat-Bulk: Ta2CrW after structural relaxation (PBE-GGA).

Unit cell a=8.8716 b=8.8716 c=8.8716 alpha=19.22 beta=19.22 gamma=19.22
Element x y z (fractional)
1 Ta 0.0000 0.0000 0.0000
2 Ta 0.2407 0.2407 0.2407
3 Cr 0.7464 0.7464 0.7464
4 W 0.4848 0.4848 0.4848

## Properties
total DFT energy (no corrections): -45.0 eV/cell
volume: 66 Å³ per cell

No. 5
Entry from Alexandria via LeMat-Bulk: Ta2CrW after structural relaxation (PBE-GGA).

Unit cell a=2.8380 b=4.4221 c=5.2329 alpha=90.00 beta=100.76 gamma=90.00
Element x y z (fractional)
1 Ta 0.0000 0.0000 0.0000
2 Ta 0.2712 0.5000 0.7375
3 Cr 0.5120 0.0000 0.4933
4 W 0.7460 0.5000 0.2515

## Properties
total DFT energy (no corrections): -46.1 eV/cell
volume: 65 Å³ per cell

No. 6
Entry from Alexandria via LeMat-Bulk: TaCr2W after structural relaxation (PBE-GGA).

Unit cell a=4.3418 b=4.3418 c=4.3418 alpha=60.00 beta=60.00 gamma=60.00
Element x y z (fractional)
1 Ta 0.0000 0.0000 0.0000
2 Cr 0.2500 0.2500 0.2500
3 Cr 0.5000 0.5000 0.5000
4 W 0.7500 0.7500 0.7500

## Properties
excess energy over the best structure of this formula in the dataset: 122 meV per atom
total DFT energy (no corrections): -43.7 eV/cell
volume: 58 Å³ per cell

No. 7
Entry from Alexandria via LeMat-Bulk: Ta2CrW after structural relaxation (PBE-GGA).

Unit cell a=5.7198 b=5.7198 c=5.7198 alpha=103.07 beta=103.07 gamma=123.21
Element x y z (fractional)
1 Ta 0.1056 0.1250 0.4806
2 Ta 0.3750 0.8944 0.0194
3 Ta 0.6444 0.6250 0.5194
4 Ta 0.8750 0.3556 0.9806
5 Cr 0.0000 0.0000 0.0000
6 Cr 0.7500 0.2500 0.5000
7 W 0.2500 0.7500 0.5000
8 W 0.5000 0.5000 0.0000

## Properties
total DFT energy (no corrections): -86.2 eV/cell
volume: 138 Å³ per cell

No. 8
Entry from Alexandria via LeMat-Bulk: Ta2Cr2W after structural relaxation (PBE-GGA).

Unit cell a=6.9790 b=6.9790 c=3.1934 alpha=90.00 beta=90.00 gamma=90.00
Element x y z (fractional)
1 Ta 0.2027 0.2973 0.0000
2 Ta 0.2973 0.7973 0.0000
3 Ta 0.7027 0.2027 0.0000
4 Ta 0.7973 0.7027 0.0000
5 Cr 0.1013 0.6013 0.5000
6 Cr 0.3987 0.1013 0.5000
7 Cr 0.6013 0.8987 0.5000
8 Cr 0.8987 0.3987 0.5000
9 W 0.0000 0.0000 0.5000
10 W 0.5000 0.5000 0.5000

## Properties
excess energy over the best structure of this formula in the dataset: 0 meV per atom
total DFT energy (no corrections): -108.6 eV/cell
volume: 156 Å³ per cell

No. 9
Entry from Alexandria via LeMat-Bulk: TaCr2W after structural relaxation (PBE-GGA).

Unit cell a=8.7160 b=8.7160 c=8.7160 alpha=18.70 beta=18.70 gamma=18.70
Element x y z (fractional)
1 Ta 0.0000 0.0000 0.0000
2 Cr 0.2463 0.2463 0.2463
3 Cr 0.5135 0.5135 0.5135
4 W 0.7630 0.7630 0.7630

## Properties
excess energy over the best structure of this formula in the dataset: 429 meV per atom
total DFT energy (no corrections): -42.5 eV/cell
volume: 59 Å³ per cell

No. 10
Entry from Alexandria via LeMat-Bulk: TaCr2W after structural relaxation (PBE-GGA).

Unit cell a=5.5133 b=5.5133 c=5.5133 alpha=103.64 beta=103.64 gamma=121.91
Element x y z (fractional)
1 Ta 0.0000 0.0000 0.0000
2 Ta 0.7500 0.2500 0.5000
3 Cr 0.1364 0.6250 0.0114
4 Cr 0.3750 0.3864 0.5114
5 Cr 0.6136 0.1250 0.9886
6 Cr 0.8750 0.8636 0.4886
7 W 0.2500 0.7500 0.5000
8 W 0.5000 0.5000 0.0000

## Properties
excess energy over the best structure of this formula in the dataset: 876 meV per atom
total DFT energy (no corrections): -81.4 eV/cell
volume: 124 Å³ per cell

No. 11
Entry from Alexandria via LeMat-Bulk: TaCr2W after structural relaxation (PBE-GGA).

Unit cell a=2.7273 b=4.2140 c=5.1403 alpha=90.00 beta=99.53 gamma=90.00
Element x y z (fractional)
1 Ta 0.0000 0.0000 0.0000
2 Cr 0.2517 0.5000 0.7441
3 Cr 0.7483 0.5000 0.2559
4 W 0.5000 0.0000 0.5000

## Properties
excess energy over the best structure of this formula in the dataset: 127 meV per atom
total DFT energy (no corrections): -43.7 eV/cell
volume: 58 Å³ per cell

No. 12
Entry from Alexandria via LeMat-Bulk: Ta2CrW after structural relaxation (PBE-GGA).

Unit cell a=2.8239 b=4.3861 c=5.2867 alpha=90.00 beta=99.83 gamma=90.00
Element x y z (fractional)
1 Ta 0.2424 0.0000 0.2556
2 Ta 0.7576 0.0000 0.7444
3 Cr 0.0000 0.5000 0.5000
4 W 0.5000 0.5000 0.0000

## Properties
total DFT energy (no corrections): -46.1 eV/cell
volume: 65 Å³ per cell

No. 13
Entry from Alexandria via LeMat-Bulk: TaCr2W after structural relaxation (PBE-GGA).

Unit cell a=4.3308 b=4.3308 c=4.3308 alpha=60.00 beta=60.00 gamma=60.00
Element x y z (fractional)
1 Ta 0.0000 0.0000 0.0000
2 Cr 0.2500 0.2500 0.2500
3 Cr 0.7500 0.7500 0.7500
4 W 0.5000 0.5000 0.5000

## Properties
excess energy over the best structure of this formula in the dataset: 0 meV per atom
total DFT energy (no corrections): -44.2 eV/cell
volume: 57 Å³ per cell

No. 14
Entry from Alexandria via LeMat-Bulk: TaCr2W after structural relaxation (PBE-GGA).

Unit cell a=8.2240 b=8.2240 c=8.2240 alpha=20.51 beta=20.51 gamma=20.51
Element x y z (fractional)
1 Ta 0.0000 0.0000 0.0000
2 Cr 0.2476 0.2476 0.2476
3 Cr 0.7524 0.7524 0.7524
4 W 0.5000 0.5000 0.5000

## Properties
excess energy over the best structure of this formula in the dataset: 446 meV per atom
total DFT energy (no corrections): -42.4 eV/cell
volume: 60 Å³ per cell

No. 15
Entry from Alexandria via LeMat-Bulk: Ta3Cr8W after structural relaxation (PBE-GGA).

Unit cell a=4.8752 b=4.8752 c=8.0052 alpha=90.00 beta=90.00 gamma=120.00
Element x y z (fractional)
1 Ta 0.0000 0.0000 0.0000
2 Ta 0.0000 0.0000 0.3824
3 Ta 0.3333 0.6667 0.8774
4 Cr 0.0070 0.5035 0.1906
5 Cr 0.3268 0.1634 0.6881
6 Cr 0.4965 0.5035 0.1906
7 Cr 0.4965 0.9930 0.1906
8 Cr 0.6667 0.3333 0.4405
9 Cr 0.6667 0.3333 0.9384
10 Cr 0.8366 0.1634 0.6881
11 Cr 0.8366 0.6732 0.6881
12 W 0.3333 0.6667 0.4973

## Properties
total DFT energy (no corrections): -126.4 eV/cell
volume: 165 Å³ per cell

No. 16
Entry from Alexandria via LeMat-Bulk: Ta2Cr2W after structural relaxation (PBE-GGA).

Unit cell a=6.1283 b=6.1283 c=6.1283 alpha=143.16 beta=143.16 gamma=53.09
Element x y z (fractional)
1 Ta 0.2500 0.7500 0.5000
2 Ta 0.7500 0.2500 0.5000
3 Cr 0.0836 0.0836 0.0000
4 Cr 0.9164 0.9164 0.0000
5 W 0.5000 0.5000 0.0000

## Properties
excess energy over the best structure of this formula in the dataset: 484 meV per atom
total DFT energy (no corrections): -51.9 eV/cell
volume: 82 Å³ per cell

No. 17
Entry from Alexandria via LeMat-Bulk: TaCr3W after structural relaxation (PBE-GGA).

Unit cell a=4.4726 b=4.4726 c=4.4726 alpha=90.00 beta=90.00 gamma=90.00
Element x y z (fractional)
1 Ta 0.0000 0.0000 0.0000
2 Cr 0.0000 0.5000 0.5000
3 Cr 0.5000 0.0000 0.5000
4 Cr 0.5000 0.5000 0.0000
5 W 0.5000 0.5000 0.5000

## Properties
excess energy over the best structure of this formula in the dataset: 0 meV per atom
total DFT energy (no corrections): -45.4 eV/cell
volume: 89 Å³ per cell

No. 18
Entry from Alexandria via LeMat-Bulk: Ta2CrW after structural relaxation (PBE-GGA).

Unit cell a=5.1996 b=5.1996 c=5.1996 alpha=144.25 beta=127.57 gamma=65.08
Element x y z (fractional)
1 Ta 0.2434 0.2434 0.0000
2 Ta 0.7566 0.7566 0.0000
3 Cr 0.0000 0.5000 0.5000
4 W 0.5000 0.0000 0.5000

## Properties
total DFT energy (no corrections): -46.1 eV/cell
volume: 64 Å³ per cell

No. 19
Entry from Alexandria via LeMat-Bulk: TaCr2W after structural relaxation (PBE-GGA).

Unit cell a=5.2123 b=5.2123 c=5.2123 alpha=139.58 beta=139.58 gamma=58.50
Element x y z (fractional)
1 Ta 0.0000 0.0000 0.0000
2 Cr 0.5000 0.5000 0.0000
3 Cr 0.7500 0.2500 0.5000
4 W 0.2500 0.7500 0.5000

## Properties
excess energy over the best structure of this formula in the dataset: 313 meV per atom
total DFT energy (no corrections): -43.0 eV/cell
volume: 59 Å³ per cell

No. 20
Entry from Alexandria via LeMat-Bulk: Ta2CrW after structural relaxation (PBE-GGA).

Unit cell a=2.7979 b=2.7979 c=8.7919 alpha=90.00 beta=90.00 gamma=110.39
Element x y z (fractional)
1 Ta 0.0000 0.0000 0.0000
2 Ta 0.5000 0.5000 0.2757
3 Cr 0.0000 0.0000 0.5117
4 W 0.5000 0.5000 0.7371

## Properties
total DFT energy (no corrections): -46.1 eV/cell
volume: 65 Å³ per cell

no.,DOS at the Fermi energy (states/eV/f.u.)
1,2.1
2,4.8
3,2.0
4,3.2
5,2.9
6,2.6
7,4.0
8,4.3
9,3.6
10,4.5
11,1.8
12,3.6
13,2.4
14,4.5
15,11.8
16,4.6
17,5.6
18,3.7
19,3.0
20,3.7